# 1
The following is a GGA-PBE calculation of a relaxed SrPrNO crystal, from OQMD.

Cell and atoms, written as POSCAR:
```
SrPrNO
1.0
-4.308 -4.553 -3.114
-3.515 -1.583 7.177
-4.032 4.488 -0.984
N O Pr Sr
4 4 4 4
direct
0.439 0.153 0.092 N
0.939 0.847 0.092 N
0.061 0.153 0.592 N
0.561 0.847 0.592 N
0.909 0.385 0.109 O
0.409 0.615 0.109 O
0.591 0.385 0.609 O
0.091 0.615 0.609 O
0.914 0.380 0.494 Pr
0.414 0.620 0.494 Pr
0.586 0.380 0.994 Pr
0.086 0.620 0.994 Pr
0.089 0.121 0.007 Sr
0.589 0.879 0.007 Sr
0.411 0.121 0.507 Sr
0.911 0.879 0.507 Sr
```

Values from the calculation:
- Final energy: -6.719 eV/atom

---

# 2
The following is a GGA-PBE calculation of a relaxed TlPt3S5 crystal, from OQMD.

Cell and atoms, written as POSCAR:
```
TlPt3S5
1.0
6.104 0.000 0.000
-3.052 5.286 0.000
0.000 0.000 6.659
Pt S Tl
3 5 1
direct
0.500 0.000 0.500 Pt
0.000 0.500 0.500 Pt
0.500 0.500 0.500 Pt
0.667 0.333 0.264 S
0.333 0.667 0.264 S
0.000 0.000 0.500 S
0.667 0.333 0.736 S
0.333 0.667 0.736 S
0.000 0.000 0.000 Tl
```

Values from the calculation:
- Final energy: -4.677 eV/atom

---

# 3
The following is a GGA-PBE calculation of a relaxed Hg3Br2 crystal, from OQMD.

Cell and atoms, written as POSCAR:
```
Hg3Br2
1.0
5.457 5.431 -0.777
-5.842 1.067 4.961
7.382 -1.479 2.975
Br Hg
4 6
direct
0.649 0.351 0.052 Br
0.851 0.149 0.448 Br
0.149 0.851 0.552 Br
0.351 0.649 0.948 Br
0.554 0.750 0.250 Hg
0.946 0.446 0.250 Hg
0.250 0.054 0.250 Hg
0.750 0.946 0.750 Hg
0.054 0.554 0.750 Hg
0.446 0.250 0.750 Hg
```

Values from the calculation:
- Final energy: -0.848 eV/atom

---

# 4
The following is a GGA-PBE calculation of a relaxed NpAlTl crystal, from OQMD.

Cell and atoms, written as POSCAR:
```
NpAlTl
1.0
-1.963 -2.790 -3.392
-4.141 1.294 -2.079
-0.038 1.454 -4.586
Al Np Tl
1 1 1
direct
0.000 0.000 0.000 Al
0.250 0.250 0.250 Np
0.750 0.750 0.750 Tl
```

Values from the calculation:
- Final energy: -5.869 eV/atom

---

# 5
The following is a GGA-PBE calculation of a relaxed HfMoAs2 crystal, from OQMD.

Cell and atoms, written as POSCAR:
```
HfMoAs2
1.0
0.237 -4.499 -0.998
-3.852 -2.362 -0.937
-0.825 -1.457 -4.300
As Hf Mo
2 1 1
direct
0.000 0.000 0.000 As
0.250 0.250 0.250 As
0.750 0.750 0.750 Hf
0.500 0.500 0.500 Mo
```

Values from the calculation:
- Final energy: -7.467 eV/atom

---

# 6
The following is a GGA-PBE calculation of a relaxed TaO2 crystal, from OQMD.

Cell and atoms, written as POSCAR:
```
TaO2
1.0
-2.295 5.144 -2.054
-1.023 0.086 10.107
7.554 6.791 -0.182
O Ta
32 16
direct
0.035 0.651 0.096 O
0.773 0.150 0.100 O
0.268 0.138 0.114 O
0.497 0.639 0.114 O
0.631 0.386 0.138 O
0.890 0.886 0.139 O
0.123 0.400 0.150 O
0.369 0.904 0.151 O
0.116 0.596 0.349 O
0.373 0.100 0.350 O
0.642 0.614 0.361 O
0.882 0.114 0.362 O
0.472 0.861 0.386 O
0.744 0.362 0.386 O
0.224 0.350 0.400 O
0.980 0.849 0.404 O
0.020 0.151 0.596 O
0.776 0.650 0.600 O
0.256 0.638 0.614 O
0.528 0.139 0.614 O
0.118 0.886 0.638 O
0.358 0.386 0.639 O
0.627 0.900 0.650 O
0.884 0.404 0.651 O
0.631 0.096 0.849 O
0.877 0.600 0.850 O
0.110 0.114 0.861 O
0.369 0.614 0.862 O
0.503 0.361 0.886 O
0.732 0.862 0.886 O
0.227 0.850 0.900 O
0.965 0.349 0.904 O
0.151 0.258 0.007 Ta
0.402 0.762 0.009 Ta
0.860 0.509 0.238 Ta
0.658 0.007 0.242 Ta
0.393 0.493 0.258 Ta
0.089 0.991 0.262 Ta
0.149 0.738 0.491 Ta
0.400 0.242 0.493 Ta
0.600 0.758 0.507 Ta
0.851 0.262 0.509 Ta
0.911 0.009 0.738 Ta
0.607 0.507 0.742 Ta
0.342 0.993 0.758 Ta
0.140 0.491 0.762 Ta
0.598 0.238 0.991 Ta
0.849 0.742 0.993 Ta
```

Values from the calculation:
- Final energy: -9.846 eV/atom

---

# 7
The following is a GGA-PBE calculation of a relaxed Zr2HO4 crystal, from OQMD.

Cell and atoms, written as POSCAR:
```
Zr2HO4
1.0
4.581 -4.582 0.000
-4.578 0.003 -4.579
4.575 4.576 0.000
H O Zr
2 8 4
direct
0.000 0.000 0.000 H
0.750 0.500 0.250 H
0.606 0.211 0.394 O
0.606 0.789 0.394 O
0.183 0.789 0.394 O
0.144 0.289 0.433 O
0.606 0.211 0.817 O
0.567 0.711 0.856 O
0.144 0.711 0.856 O
0.144 0.289 0.856 O
0.375 0.750 0.125 Zr
0.375 0.750 0.625 Zr
0.375 0.250 0.625 Zr
0.875 0.250 0.625 Zr
```

Values from the calculation:
- Final energy: -8.018 eV/atom

---

# 8
The following is a GGA-PBE calculation of a relaxed GaB4Os crystal, from OQMD.

Cell and atoms, written as POSCAR:
```
GaB4Os
1.0
-1.064 0.406 -2.802
2.926 -0.638 0.429
-1.440 -6.913 -0.455
B Ga Os
4 1 1
direct
0.667 0.333 0.238 B
0.333 0.667 0.238 B
0.667 0.333 0.762 B
0.333 0.667 0.762 B
0.000 0.000 0.500 Ga
0.000 0.000 0.000 Os
```

Values from the calculation:
- Final energy: -6.389 eV/atom